The following is a DFT calculation (PBE-GGA) of an optimized crystal structure of InAgO3.

DOS(E_F)   0.28 states/eV/atom
Volume   64.6 Å³ per cell
Raw total energy   -4.091 eV per atom

a b c (Å): 4.0120 4.0120 4.0120
angles (deg): 90.00 90.00 90.00
Fractional coordinates of all 5 atoms:
In  0.0000  0.0000  0.0000
Ag  0.5000  0.5000  0.5000
O  0.0000  0.5000  0.5000
O  0.5000  0.0000  0.5000
O  0.5000  0.5000  0.0000



The following is a DFT calculation (PBE-GGA) of an optimized crystal structure of Sr5Sn3.

DOS(E_F)   0.78 states/eV/atom
Volume   609.7 Å³ per cell
Formation energy from the elements   -0.640 eV/atom
Raw total energy   -3.192 eV per atom

a b c (Å): 10.2429 10.2429 10.2429
angles (deg): 130.35 130.35 72.85
Fractional coordinates of all 16 atoms:
Sr  0.0000  0.0000  0.0000
Sr  0.0345  0.5345  0.8531
Sr  0.1813  0.0345  0.5000
Sr  0.3187  0.8187  0.8531
Sr  0.4655  0.3187  0.5000
Sr  0.5000  0.5000  0.0000
Sr  0.5345  0.6813  0.5000
Sr  0.6813  0.1813  0.1469
Sr  0.8187  0.9655  0.5000
Sr  0.9655  0.4655  0.1469
Sn  0.1208  0.3792  0.5000
Sn  0.2500  0.2500  0.0000
Sn  0.3792  0.8792  0.2583
Sn  0.6208  0.1208  0.7417
Sn  0.7500  0.7500  0.0000
Sn  0.8792  0.6208  0.5000